1.
{"formula": "GdDyAg2S4", "functional": "GGA-PBE", "state": "relaxed", "cell": [[4.636, -4.645, 0.000], [4.636, 4.645, 0.000], [0.000, 0.000, 4.142]], "species": ["Gd", "Dy", "Ag", "Ag", "S", "S", "S", "S"], "frac_coords": [[0.000, 0.000, 0.000], [0.500, 0.500, 0.550], [0.000, 0.500, 0.775], [0.500, 0.000, 0.775], [0.202, 0.202, 0.507], [0.301, 0.699, 0.043], [0.699, 0.301, 0.043], [0.798, 0.798, 0.507]], "total_energy_ev_per_cell": -42.1, "spacegroup": "Cmm2 (35)", "m_tot_mub_per_fu": 0.00}

2.
{"formula": "GdDyAg2Sb4", "functional": "GGA-PBE", "state": "relaxed", "cell": [[4.342, 0.000, 0.000], [0.000, 4.342, 0.000], [0.000, 0.000, 10.454]], "species": ["Gd", "Dy", "Ag", "Ag", "Sb", "Sb", "Sb", "Sb"], "frac_coords": [[0.000, 0.000, 0.000], [0.500, 0.500, 0.472], [0.000, 0.500, 0.736], [0.500, 0.000, 0.736], [0.000, 0.000, 0.551], [0.000, 0.500, 0.237], [0.500, 0.000, 0.237], [0.500, 0.500, 0.920]], "total_energy_ev_per_cell": -36.4, "spacegroup": "P4mm (99)", "m_tot_mub_per_fu": 0.00}

3.
{"formula": "GdDyAg2Se4", "functional": "GGA-PBE", "state": "relaxed", "cell": [[4.788, -4.793, 0.000], [4.788, 4.793, 0.000], [0.000, 0.000, 4.332]], "species": ["Gd", "Dy", "Ag", "Ag", "Se", "Se", "Se", "Se"], "frac_coords": [[0.000, 0.000, 0.000], [0.500, 0.500, 0.592], [0.000, 0.500, 0.796], [0.500, 0.000, 0.796], [0.204, 0.204, 0.513], [0.299, 0.701, 0.080], [0.701, 0.299, 0.080], [0.796, 0.796, 0.513]], "total_energy_ev_per_cell": -38.7, "spacegroup": "Cmm2 (35)", "m_tot_mub_per_fu": 0.00}

4.
{"formula": "GdDyTlAg2", "functional": "GGA-PBE", "state": "relaxed", "cell": [[3.522, 0.000, 0.000], [0.000, 2.302, 7.435], [0.000, -2.302, 7.435]], "species": ["Gd", "Dy", "Tl", "Ag", "Ag"], "frac_coords": [[0.000, 0.000, 0.000], [0.000, 0.244, 0.244], [0.500, 0.622, 0.622], [0.500, 0.422, 0.422], [0.500, 0.819, 0.819]], "total_energy_ev_per_cell": -18.8, "spacegroup": "Amm2 (38)", "m_tot_mub_per_fu": 0.02}

5.
{"formula": "DyAgGe", "functional": "GGA-PBE", "state": "relaxed", "cell": [[7.334, 0.000, 0.000], [-3.667, 6.352, 0.000], [0.000, 0.000, 4.151]], "species": ["Dy", "Dy", "Dy", "Ag", "Ag", "Ag", "Ge", "Ge", "Ge"], "frac_coords": [[0.000, 0.602, 0.000], [0.398, 0.398, 0.000], [0.602, 0.000, 0.000], [0.000, 0.000, 0.000], [0.333, 0.667, 0.500], [0.667, 0.333, 0.500], [0.000, 0.266, 0.500], [0.266, 0.000, 0.500], [0.734, 0.734, 0.500]], "total_energy_ev_per_cell": -39.9, "spacegroup": "P-62m (189)", "m_tot_mub_per_fu": 0.00}

6.
{"formula": "DyAgGe", "functional": "GGA-PBE", "state": "relaxed", "cell": [[7.155, 0.000, 0.000], [-3.578, 6.196, 0.000], [0.000, 0.000, 4.240]], "species": ["Dy", "Dy", "Dy", "Ag", "Ag", "Ag", "Ge", "Ge", "Ge"], "frac_coords": [[0.000, 0.583, 0.000], [0.417, 0.417, 0.000], [0.583, 0.000, 0.000], [0.000, 0.250, 0.500], [0.250, 0.000, 0.500], [0.750, 0.750, 0.500], [0.000, 0.000, 0.000], [0.333, 0.667, 0.500], [0.667, 0.333, 0.500]], "total_energy_ev_per_cell": -42.1, "spacegroup": "P-62m (189)", "m_tot_mub_per_fu": 0.00}